1.
VASP calculation (PBE-GGA) on an optimized crystal structure of FeAg3N.

Results
uncorrected energy: -20.2 eV for the cell shown
symmetry: Pm-3m (221)

Lattice parameters (Å, degrees): 4.2718 4.2718 4.2718 90.00 90.00 90.00
Positions (direct):
Fe: 0.0000 0.0000 0.0000
Ag: 0.0000 0.5000 0.5000
Ag: 0.5000 0.0000 0.5000
Ag: 0.5000 0.5000 0.0000
N: 0.5000 0.5000 0.5000

2.
VASP calculation (PBE-GGA) on an optimized crystal structure of NaFeAgSe2S.

Results
uncorrected energy: -49.7 eV for the cell shown
symmetry: Cmcm (63)

Lattice parameters (Å, degrees): 7.0603 7.0603 9.7683 90.00 90.00 150.78
Positions (direct):
Na: 0.2416 0.7584 0.7500
Na: 0.7584 0.2416 0.2500
Fe: 0.5000 0.5000 0.0000
Fe: 0.5000 0.5000 0.5000
Ag: 0.0681 0.9319 0.2500
Ag: 0.9319 0.0681 0.7500
Se: 0.1214 0.8786 0.0068
Se: 0.1214 0.8786 0.4932
Se: 0.8786 0.1214 0.5068
Se: 0.8786 0.1214 0.9932
S: 0.4357 0.5643 0.2500
S: 0.5643 0.4357 0.7500